TaRe2Os | SCAN | single point on PBEsol structure Values from VASP.

ΔH_f (0 K)   -16.0 meV/atom
E_tot   -280.72 eV for the cell shown
Offset from the most stable computed form   7.5 meV per atom

```
&SYSTEM
  ibrav = 0, nat = 4, ntyp = 3
/
ATOMIC_SPECIES
Ta 180.95 Ta.upf
Re 186.21 Re.upf
Os 190.23 Os.upf
CELL_PARAMETERS angstrom
2.802 0.000 0.000
0.000 3.872 0.000
0.000 0.000 5.615
ATOMIC_POSITIONS crystal
Ta 0.000 0.000 0.000
Re 0.000 0.000 0.497
Re 0.500 0.500 0.730
Os 0.500 0.500 0.254
```